Here is an optimized crystal structure of Na3In2Hg4 from Alexandria. Energies are from PBE-GGA.

```
9
Lattice="-2.605 -2.760 3.411 4.816 -2.896 -2.482 1.474 6.745 6.583" Properties=species:S:1:pos:R:3 pbc="T T T"
Na 2.860 -0.699 1.618
Na 0.826 1.789 5.894
Na 0.000 0.000 0.000
In -0.053 -0.462 3.402
In 3.738 1.552 4.110
Hg 1.008 2.136 2.498
Hg 2.677 -1.046 5.015
Hg 3.389 3.963 5.794
Hg 0.296 -2.874 1.718
```

Values from the calculation:
Size of the total moment, μB/atom: 0.000
Fermi-level density of states, states/eV/cell: 2.24
ΔE_f, eV/atom: -0.203


Here is an optimized crystal structure of PmGdZr from Alexandria. Energies are from PBE-GGA.

```
3
Lattice="-0.426 -3.096 -1.372 3.194 -0.827 0.875 -3.870 -0.631 6.874" Properties=species:S:1:pos:R:3 pbc="T T T"
Gd -0.061 -0.064 0.163
Pm -1.605 -1.673 4.277
Zr 0.563 -2.818 1.938
```

Values from the calculation:
Size of the total moment, μB/atom: 2.431
Energy relative to the lowest polymorph listed for this composition, meV/atom: 0
Fermi-level density of states, states/eV/cell: 4.29
ΔE_f, eV/atom: 0.102


What is the ΔE_f in the first record?
-0.203 eV/atom